No. 1
! La5PrEr | the Alexandria database | PBE-GGA | relaxed; values from VASP
&SYSTEM
  ibrav = 0, nat = 14, ntyp = 3
/
ATOMIC_SPECIES
La 138.91 La.upf
Pr 140.91 Pr.upf
Er 167.26 Er.upf
ATOMIC_POSITIONS crystal
La 0.017 0.389 0.648
La 0.142 0.858 0.750
La 0.242 0.546 0.034
La 0.389 0.017 0.148
La 0.454 0.758 0.466
La 0.546 0.242 0.534
La 0.611 0.983 0.852
La 0.758 0.454 0.966
La 0.858 0.142 0.250
La 0.983 0.611 0.352
Pr 0.000 0.000 0.000
Pr 0.000 0.000 0.500
Er 0.489 0.511 0.750
Er 0.511 0.489 0.250
CELL_PARAMETERS angstrom
3.153 -8.941 0.000
3.153 8.941 0.000
-1.862 0.000 9.014
! VASP energy ... -65.9 eV/cell
! D(E_F) ... 1.6242 states/eV per atom
! Size of the total moment ... 0.00 μB per atom
! E_form ... 0.15 eV/atom
! Calculated volume ... 508.3 Å³ per cell
! Energy above the most stable polymorph in this dataset ... 28 meV per atom


No. 2
! La12Pr6Er | the Alexandria database | PBE-GGA | relaxed; values from VASP
&SYSTEM
  ibrav = 0, nat = 19, ntyp = 3
/
ATOMIC_SPECIES
La 138.91 La.upf
Pr 140.91 Pr.upf
Er 167.26 Er.upf
ATOMIC_POSITIONS crystal
La 0.000 0.261 0.739
La 0.000 0.739 0.261
La 0.167 0.583 0.583
La 0.261 0.000 0.739
La 0.261 0.739 0.000
La 0.417 0.417 0.833
La 0.417 0.833 0.417
La 0.583 0.167 0.583
La 0.583 0.583 0.167
La 0.739 0.000 0.261
La 0.739 0.261 0.000
La 0.833 0.417 0.417
Pr 0.141 0.141 0.407
Pr 0.141 0.407 0.141
Pr 0.407 0.141 0.141
Pr 0.593 0.859 0.859
Pr 0.859 0.593 0.859
Pr 0.859 0.859 0.593
Er 0.000 0.000 0.000
CELL_PARAMETERS angstrom
6.835 3.946 4.381
-6.835 3.946 4.381
0.000 -7.893 4.381
! VASP energy ... -90.4 eV/cell
! D(E_F) ... 1.4573 states/eV per atom
! Size of the total moment ... 0.00 μB per atom
! E_form ... 0.10 eV/atom
! Calculated volume ... 709.1 Å³ per cell


No. 3
! La12PrEr3 | the Alexandria database | PBE-GGA | relaxed; values from VASP
&SYSTEM
  ibrav = 0, nat = 16, ntyp = 3
/
ATOMIC_SPECIES
La 138.91 La.upf
Pr 140.91 Pr.upf
Er 167.26 Er.upf
ATOMIC_POSITIONS crystal
La 0.000 0.000 0.000
La 0.000 0.000 0.248
La 0.000 0.000 0.500
La 0.000 0.000 0.752
La 0.000 0.500 0.124
La 0.000 0.500 0.373
La 0.000 0.500 0.627
La 0.000 0.500 0.876
La 0.500 0.000 0.124
La 0.500 0.000 0.373
La 0.500 0.000 0.627
La 0.500 0.000 0.876
Pr 0.500 0.500 0.500
Er 0.500 0.500 0.000
Er 0.500 0.500 0.248
Er 0.500 0.500 0.752
CELL_PARAMETERS angstrom
5.210 0.000 0.000
0.000 5.210 0.000
0.000 0.000 20.863
! VASP energy ... -77.5 eV/cell
! D(E_F) ... 1.4320 states/eV per atom
! Size of the total moment ... 0.00 μB per atom
! E_form ... 0.01 eV/atom
! Calculated volume ... 566.3 Å³ per cell